Density functional theory data (PBE with a Hubbard U) for a relaxed PuCoPtO6 crystal.

abc: 5.2166 5.2166 9.1445
angles: 90.00 90.00 120.00
Sites, in units of the cell vectors:
Pu1 0.3333 0.6667 0.2500
Pu2 0.6667 0.3333 0.7500
Co1 0.0000 0.0000 0.0000
Co2 0.0000 0.0000 0.5000
Pt1 0.3333 0.6667 0.7500
Pt2 0.6667 0.3333 0.2500
O1 0.0066 0.3369 0.6261
O2 0.0066 0.6697 0.8739
O3 0.3303 0.3369 0.8739
O4 0.3303 0.9934 0.6261
O5 0.3369 0.0066 0.1261
O6 0.3369 0.3303 0.3739
O7 0.6631 0.6697 0.6261
O8 0.6631 0.9934 0.8739
O9 0.6697 0.0066 0.3739
O10 0.6697 0.6631 0.1261
O11 0.9934 0.3303 0.1261
O12 0.9934 0.6631 0.3739

Summary:
**Crystal system**: trigonal
**DOS at the Fermi energy**: 12.00 states/eV/f.u.
**DFT total energy**: -135.3 eV/cell
**M_tot**: 10.32 μB per cell